Record 1
VASP calculation (PBE) on a relaxed CrRh2Pb crystal.

a b c (Å): 5.0001 5.0001 4.6011
angles (deg): 74.52 74.52 37.10
Last column: nearest neighbours and their distance in Å.
Sites, in units of the cell vectors:
Rh1 0.9972 0.9972 0.0306  4 Cr 2.67-2.92, 3 Pb 2.73-2.77
Rh2 0.7629 0.7629 0.6931  3 Cr 2.62-2.79, 4 Pb 2.77-2.83
Cr1 0.4920 0.4920 0.5668  7 Rh 2.62-2.92
Pb1 0.2479 0.2479 0.2095  7 Rh 2.73-2.83, 2 Cr 2.98

Values from the calculation:
Theoretical density: 11.60 Mg/m³
Formation enthalpy at 0 K: 0.1604 eV/atom
Calculated total energy: -27.39 eV/f.u.
DOS at the Fermi energy: 1.118 states/eV/atom


Record 2
VASP calculation (PBE) on a relaxed Mg2CdOs2 crystal.

a b c (Å): 6.7626 6.7626 4.1138
angles (deg): 90.00 90.00 90.00
Last column: nearest neighbours and their distance in Å.
Sites, in units of the cell vectors:
Mg1 0.6671 0.8329 0.5000  6 Os 2.86-2.88, 1 Mg 3.20
Mg2 0.3329 0.1671 0.5000  6 Os 2.86-2.88, 1 Mg 3.20
Mg3 0.8329 0.3329 0.5000  6 Os 2.86-2.88, 1 Mg 3.20
Mg4 0.1671 0.6671 0.5000  6 Os 2.86-2.88, 1 Mg 3.20
Os1 0.1227 0.3773 0.0000  1 Os 2.35
Os2 0.8773 0.6227 0.0000  1 Os 2.35
Os3 0.3773 0.8773 0.0000  1 Os 2.35
Os4 0.6227 0.1227 0.0000  1 Os 2.35
Cd1 0.0000 0.0000 0.0000  4 Os 2.68
Cd2 0.5000 0.5000 0.0000  4 Os 2.68

Values from the calculation:
Theoretical density: 9.56 Mg/m³
Formation enthalpy at 0 K: 0.3981 eV/atom
Calculated total energy: -24.57 eV/f.u.
DOS at the Fermi energy: 0.722 states/eV/atom